1.
Below is ZrNbCr2 after structural relaxation, with properties calculated at the PBE level.

Values from the calculation:
Total moment = 2.609 μB per formula unit
D(E_F) = 13.42 states/eV/cell
Theoretical density = 6.99 g/cm³
Final energy = -140.1 eV/cell
Energy relative to the elements = 0.708 eV per atom

abc: 6.984 6.984 5.610
angles: 90.00 90.00 90.00
Space group I-42d (No. 122)
Inequivalent atoms, fractional coordinates:
Zr  0.000  0.000  0.000 [4 per cell]
Nb  0.000  0.000  0.500 [4 per cell]
Cr  0.236  0.250  0.625 [8 per cell]

***

2.
Below is Nd4MgCd2Ag after structural relaxation, with properties calculated at the PBE level.

Values from the calculation:
Total moment = 0.013 μB per formula unit
D(E_F) = 24.94 states/eV/cell
Theoretical density = 6.86 g/cm³
Final energy = -82.1 eV/cell
Energy relative to the elements = -0.254 eV per atom

abc: 5.4263 5.4263 26.5936
angles: 90.00 90.00 120.00
Space group R-3m (No. 166, hexagonal axes)
Inequivalent atoms, fractional coordinates:
Nd  0.0000  0.0000  0.1211 [6 per cell]
Nd  0.0000  0.0000  0.3720 [6 per cell]
Mg  0.0000  0.0000  0.5000 [3 per cell]
Cd  0.0000  0.0000  0.2439 [6 per cell]
Ag  0.0000  0.0000  0.0000 [3 per cell]

***

3.
Below is SmTmPd after structural relaxation, with properties calculated at the PBE level.

Values from the calculation:
Total moment = 0.000 μB per formula unit
D(E_F) = 2.38 states/eV/cell
Theoretical density = 9.21 g/cm³
Final energy = -15.6 eV/cell
Energy relative to the elements = -0.404 eV per atom

abc: 4.7696 4.7696 3.8959
angles: 90.00 90.00 120.00
Space group P3m1 (No. 156)
Inequivalent atoms, fractional coordinates:
Sm  0.0000  0.0000  0.0000 [1 per cell]
Tm  0.3333  0.6667  0.5268 [1 per cell]
Pd  0.6667  0.3333  0.3429 [1 per cell]

***

4.
Below is ScTlAs2 after structural relaxation, with properties calculated at the PBE level.

Values from the calculation:
Total moment = 0.000 μB per formula unit
D(E_F) = 4.31 states/eV/cell
Theoretical density = 7.60 g/cm³
Final energy = -38.4 eV/cell
Energy relative to the elements = -0.295 eV per atom

abc: 4.023 4.023 10.776
angles: 90.00 90.00 90.00
Space group I-4m2 (No. 119)
Inequivalent atoms, fractional coordinates:
Sc  0.000  0.000  0.000 [2 per cell]
Tl  0.000  0.500  0.750 [2 per cell]
As  0.000  0.000  0.500 [2 per cell]
As  0.000  0.500  0.250 [2 per cell]

***

5.
Below is Hf3TcOs2 after structural relaxation, with properties calculated at the PBE level.

Values from the calculation:
Total moment = 0.000 μB per formula unit
D(E_F) = 3.13 states/eV/cell
Theoretical density = 16.29 g/cm³
Final energy = -66.6 eV/cell
Energy relative to the elements = -0.650 eV per atom

abc: 3.254 3.254 9.763
angles: 90.00 90.00 90.00
Space group P4/mmm (No. 123)
Inequivalent atoms, fractional coordinates:
Hf  0.000  0.000  0.000 [1 per cell]
Hf  0.000  0.000  0.335 [2 per cell]
Tc  0.500  0.500  0.500 [1 per cell]
Os  0.500  0.500  0.166 [2 per cell]

***

6.
Below is HfSc2Co5B2 after structural relaxation, with properties calculated at the PBE level.

Values from the calculation:
Total moment = 0.000 μB per formula unit
D(E_F) = 6.15 states/eV/cell
Theoretical density = 8.04 g/cm³
Final energy = -153.9 eV/cell
Energy relative to the elements = -0.543 eV per atom

abc: 8.897 8.897 3.051
angles: 90.00 90.00 90.00
Space group P4/mbm (No. 127)
Inequivalent atoms, fractional coordinates:
Hf  0.000  0.000  0.000 [2 per cell]
Sc  0.174  0.326  0.000 [4 per cell]
Co  0.000  0.500  0.500 [2 per cell]
Co  0.071  0.770  0.500 [8 per cell]
B  0.118  0.618  0.000 [4 per cell]

***

7.
Below is Hg2PBr after structural relaxation, with properties calculated at the PBE level.

Values from the calculation:
Total moment = 0.000 μB per formula unit
D(E_F) = 3.04 states/eV/cell
Theoretical density = 8.31 g/cm³
Final energy = -13.0 eV/cell
Formation energy from raw total energies = 0.2968 eV per atom

abc: 5.605 8.541 5.094
angles: 90.00 122.91 90.00
Space group C2/m (No. 12)
Inequivalent atoms, fractional coordinates:
Hg  0.250  0.250  0.000 [4 per cell]
P  0.000  0.000  0.500 [2 per cell]
Br  0.000  0.500  0.500 [2 per cell]

***

8.
Below is ScTe2Rh after structural relaxation, with properties calculated at the PBE level.

Values from the calculation:
Total moment = 0.000 μB per formula unit
D(E_F) = 2.34 states/eV/cell
Theoretical density = 8.10 g/cm³
Final energy = -22.3 eV/cell
Formation energy from raw total energies = -0.5755 eV per atom

abc: 4.842 4.842 3.523
angles: 90.00 90.00 90.00
Space group P4/mmm (No. 123)
Inequivalent atoms, fractional coordinates:
Sc  0.000  0.000  0.000 [1 per cell]
Te  0.000  0.500  0.500 [2 per cell]
Rh  0.500  0.500  0.000 [1 per cell]